Record 1
Here is a relaxed TlCr2Fe crystal from Alexandria. Energies are from GGA-PBE.

a = 3.114 Å, b = 4.442 Å, c = 8.506 Å
α = 90.00°, β = 90.00°, γ = 90.00°
Fractional coordinates of all 8 atoms:
1 Tl 0.000 0.000 0.000
2 Tl 0.500 0.500 0.500
3 Cr 0.000 0.000 0.481
4 Cr 0.000 0.500 0.775
5 Cr 0.500 0.000 0.275
6 Cr 0.500 0.500 0.981
7 Fe 0.000 0.500 0.231
8 Fe 0.500 0.000 0.731

Values from the calculation:
Symmetry: Imm2, No. 44
Calculated formation energy in eV/atom: 0.62
E above lowest polymorph in eV per atom: 0.143
DOS(E_F) in states/eV/f.u.: 3.91

***

Record 2
Here is a relaxed TlCrFe crystal from Alexandria. Energies are from GGA-PBE.

a = 4.317 Å, b = 4.317 Å, c = 2.876 Å
α = 90.00°, β = 90.00°, γ = 120.00°
Fractional coordinates of all 3 atoms:
1 Tl 0.000 0.000 0.000
2 Cr 0.333 0.667 0.443
3 Fe 0.667 0.333 0.600

Values from the calculation:
Symmetry: P3m1, No. 156
Calculated formation energy in eV/atom: 0.81
E above lowest polymorph in eV per atom: 0.242
DOS(E_F) in states/eV/f.u.: 4.44

***

| no. | spin magnetization (μB/f.u.) | DFT total energy (eV/cell) |
| --- | --- | --- |
| 1 | 2.46 | -55.2 |
| 2 | 3.01 | -18.0 |